Record 1
A plane-wave DFT calculation with GGA-PBE was carried out for Rb5Au2O after structural relaxation.

Lattice parameters (Å, degrees): 8.5343 8.5343 15.5660 90.00 90.00 135.59
Last column: nearest neighbours and their distance in Å.
Atoms (fractional coordinates):
Rb  0.0557  0.9443  0.6294  1 O 2.69
Rb  0.0557  0.9443  0.8706  1 O 2.69
Rb  0.2961  0.7039  0.6205  1 O 2.75
Rb  0.2961  0.7039  0.8795  1 O 2.75
Rb  0.3016  0.6984  0.2500  2 O 3.24, 2 Au 3.62
Rb  0.6984  0.3016  0.7500  2 O 3.24, 2 Au 3.62
Rb  0.7039  0.2961  0.1205  1 O 2.75
Rb  0.7039  0.2961  0.3795  1 O 2.75
Rb  0.9443  0.0557  0.1294  1 O 2.69
Rb  0.9443  0.0557  0.3706  1 O 2.69
Au  0.1604  0.8396  0.0671  6 Rb 3.40-3.62
Au  0.1604  0.8396  0.4329  6 Rb 3.40-3.62
Au  0.8396  0.1604  0.5671  6 Rb 3.40-3.62
Au  0.8396  0.1604  0.9329  6 Rb 3.40-3.62
O  0.1781  0.8219  0.7500  4 Rb 2.69-2.75
O  0.8219  0.1781  0.2500  4 Rb 2.69-2.75

The calculation puts the calculated density at 3.5 g cm⁻³. As for the formation energy from raw total energies: -0.4677 eV/atom. The energy above the most stable polymorph in this dataset is 0.308 eV/f.u. Its crystal system is orthorhombic. For the total magnetization, the calculation gives 1.13 μB per cell.



Record 2
A plane-wave DFT calculation with GGA-PBE was carried out for Rb7Au2O2 after structural relaxation.

Lattice parameters (Å, degrees): 9.7788 9.7788 5.6643 97.86 97.86 123.21
Last column: nearest neighbours and their distance in Å.
Atoms (fractional coordinates):
Rb  0.0000  0.0000  0.0000  2 O 2.83
Rb  0.1291  0.4359  0.1854  1 O 2.66
Rb  0.3609  0.3609  0.6963  3 O 2.86-2.87
Rb  0.4359  0.1291  0.1854  1 O 2.66
Rb  0.5641  0.8709  0.8146  1 O 2.66
Rb  0.6391  0.6391  0.3037  3 O 2.86-2.87
Rb  0.8709  0.5641  0.8146  1 O 2.66
Au  0.1727  0.8273  0.5000  4 Rb 3.59-3.76
Au  0.8273  0.1727  0.5000  4 Rb 3.59-3.76
O  0.3176  0.3176  0.1756  6 Rb 2.66-2.87
O  0.6824  0.6824  0.8244  6 Rb 2.66-2.87

The calculation puts the calculated density at 3.9 g cm⁻³. As for the formation energy from raw total energies: -0.5933 eV/atom. The energy above the most stable polymorph in this dataset is 0.000 eV/f.u. Its crystal system is monoclinic. For the total magnetization, the calculation gives 0.00 μB per cell.



Record 3
A plane-wave DFT calculation with GGA-PBE was carried out for Rb12Au3O4 after structural relaxation.

Lattice parameters (Å, degrees): 9.7558 9.7558 9.7558 109.47 109.47 109.47
Last column: nearest neighbours and their distance in Å.
Atoms (fractional coordinates):
Rb  0.0297  0.7608  0.2688  2 O 2.83
Rb  0.2392  0.2688  0.5080  2 O 2.83
Rb  0.2392  0.7312  0.9703  2 O 2.83
Rb  0.2688  0.0297  0.7608  2 O 2.83
Rb  0.2688  0.5080  0.2392  2 O 2.83
Rb  0.4920  0.7608  0.7312  2 O 2.83
Rb  0.5080  0.2392  0.2688  2 O 2.83
Rb  0.7312  0.4920  0.7608  2 O 2.83
Rb  0.7312  0.9703  0.2392  2 O 2.83
Rb  0.7608  0.2688  0.0297  2 O 2.83
Rb  0.7608  0.7312  0.4920  2 O 2.83
Rb  0.9703  0.2392  0.7312  2 O 2.83
Au  0.0000  0.5000  0.5000  8 Rb 3.75-3.93
Au  0.5000  0.0000  0.5000  8 Rb 3.75-3.93
Au  0.5000  0.5000  0.0000  8 Rb 3.75-3.93
O  0.0000  0.0000  0.5000  6 Rb 2.83
O  0.0000  0.5000  0.0000  6 Rb 2.83
O  0.5000  0.0000  0.0000  6 Rb 2.83
O  0.5000  0.5000  0.5000  6 Rb 2.83

The calculation puts the calculated density at 3.9 g cm⁻³. As for the formation energy from raw total energies: -0.6768 eV/atom. Its crystal system is cubic. For the total magnetization, the calculation gives 0.86 μB per cell.



Record 4
A plane-wave DFT calculation with GGA-PBE was carried out for Rb4Au3O after structural relaxation.

Lattice parameters (Å, degrees): 9.6457 9.6457 5.8392 90.00 90.00 90.00
Last column: nearest neighbours and their distance in Å.
Atoms (fractional coordinates):
Rb  0.1820  0.1820  0.1197  1 O 2.58
Rb  0.1820  0.8180  0.8803  1 O 2.58
Rb  0.3180  0.3180  0.6197  1 O 2.58
Rb  0.3180  0.6820  0.3803  1 O 2.58
Rb  0.6820  0.3180  0.3803  1 O 2.58
Rb  0.6820  0.6820  0.6197  1 O 2.58
Rb  0.8180  0.1820  0.8803  1 O 2.58
Rb  0.8180  0.8180  0.1197  1 O 2.58
Au  0.0000  0.0000  0.5000  2 O 2.92
Au  0.0000  0.5000  0.2500  2 Au 2.92
Au  0.0000  0.5000  0.7500  2 Au 2.92
Au  0.5000  0.0000  0.2500  2 Au 2.92
Au  0.5000  0.0000  0.7500  2 Au 2.92
Au  0.5000  0.5000  0.0000  2 O 2.92
O  0.0000  0.0000  0.0000  4 Rb 2.58
O  0.5000  0.5000  0.5000  4 Rb 2.58

The calculation puts the calculated density at 5.8 g cm⁻³. As for the formation energy from raw total energies: -0.3037 eV/atom. Its crystal system is tetragonal. For the total magnetization, the calculation gives 0.53 μB per cell.